Entry 1:
A relaxed Tb5Ho4Mg2 crystal. Source: Alexandria, functional GGA-PBE.

Cell and atoms, written as extended XYZ:
```
11
Lattice="-1.7063 4.4046 11.4764 1.7063 -4.4046 11.4764 1.7063 4.4046 -11.4764" Properties=species:S:1:pos:R:3 pbc="T T T"
Tb 0.0000 0.0000 0.0000
Tb 1.7063 1.7458 -3.2335
Tb 1.7063 1.7458 3.2335
Tb 0.0000 2.6588 8.2430
Tb 0.0000 2.6588 14.7099
Ho 1.7063 0.0000 6.1598
Ho 1.7063 2.8154 0.0000
Ho 0.0000 1.5893 11.4764
Ho 0.0000 4.4046 5.3166
Mg 1.7063 0.0000 9.2292
Mg 0.0000 4.4046 2.2472
```

* symmetry: Immm, No. 71
* energy: -42.10 eV/cell
* magnetization: 0.03 μB/atom

Entry 2:
A relaxed Ba2AlTc crystal. Source: Alexandria, functional GGA-PBE.

Cell and atoms, written as extended XYZ:
```
8
Lattice="5.4153 0.0000 0.0000 0.0000 5.4153 0.0000 0.0000 0.0000 7.6778" Properties=species:S:1:pos:R:3 pbc="T T T"
Ba 0.0000 0.0000 0.0000
Ba 0.0000 2.7076 1.9195
Ba 2.7076 0.0000 5.7584
Ba 2.7076 2.7076 3.8389
Al 0.0000 0.0000 3.8389
Al 2.7076 2.7076 0.0000
Tc 0.0000 2.7076 5.7584
Tc 2.7076 0.0000 1.9195
```

* symmetry: I-4m2, No. 119
* energy: -30.19 eV/cell
* magnetization: 0.59 μB/atom

Entry 3:
A relaxed GaPd2Pt8 crystal. Source: Alexandria, functional GGA-PBE.

Cell and atoms, written as extended XYZ:
```
11
Lattice="7.1337 -1.9803 0.0000 7.1337 1.9803 0.0000 -1.6674 0.0000 6.0296" Properties=species:S:1:pos:R:3 pbc="T T T"
Ga 0.0000 0.0000 0.0000
Pd 3.3219 0.0000 2.2136
Pd 9.2780 0.0000 3.8161
Pt 0.5482 0.0000 2.6519
Pt 1.0507 0.0000 5.4885
Pt 3.8532 0.0000 4.9832
Pt 6.0303 0.0000 1.6545
Pt 6.5697 0.0000 4.3752
Pt 8.7468 0.0000 1.0464
Pt 11.5493 0.0000 0.5411
Pt 12.0518 0.0000 3.3777
```

* symmetry: C2/m, No. 12
* energy: -63.68 eV/cell
* magnetization: 0.00 μB/atom

Entry 4:
A relaxed AgHgPbF5 crystal. Source: Alexandria, functional GGA-PBE.

Cell and atoms, written as extended XYZ:
```
16
Lattice="4.3239 -5.2595 0.0000 4.3239 5.2595 0.0000 -3.5319 0.0000 6.8631" Properties=species:S:1:pos:R:3 pbc="T T T"
Ag 1.6750 4.8891 5.1473
Ag 3.4409 -4.8891 1.7158
Hg 2.1620 2.6297 0.0000
Hg 0.3960 -2.6297 3.4316
Pb 1.6750 0.7122 5.1473
Pb 3.4409 -0.7122 1.7158
F 0.5253 2.8518 5.8460
F -0.7241 0.1319 6.2468
F 1.0419 -0.1319 2.8152
F 2.8247 2.8518 4.4487
F 3.4409 1.7087 1.7158
F 1.6750 -1.7087 5.1473
F 2.2913 -2.8518 2.4144
F 4.0741 0.1319 4.0479
F 5.8400 -0.1319 0.6164
F 4.5906 -2.8518 1.0172
```

* symmetry: C2/c, No. 15
* formation energy (no corrections): -1623 meV/atom
* energy: -58.40 eV/cell
* magnetization: 0.00 μB/atom

Entry 5:
A relaxed Te2PtWS crystal. Source: Alexandria, functional GGA-PBE.

Cell and atoms, written as extended XYZ:
```
5
Lattice="5.4158 0.0000 0.0000 0.0000 5.4158 0.0000 0.0000 0.0000 4.4123" Properties=species:S:1:pos:R:3 pbc="T T T"
Te 0.0000 2.7079 0.0000
Te 2.7079 0.0000 0.0000
Pt 0.0000 0.0000 0.0000
W 2.7079 2.7079 2.2061
S 0.0000 0.0000 2.2061
```

* symmetry: P4/mmm, No. 123
* formation energy (no corrections): 1165 meV/atom
* energy: -23.58 eV/cell
* magnetization: 0.56 μB/atom

Entry 6:
A relaxed Ga2HOs crystal. Source: Alexandria, functional GGA-PBE.

Cell and atoms, written as extended XYZ:
```
16
Lattice="4.6762 0.0000 0.0000 0.0000 4.6762 0.0000 0.0000 0.0000 10.5458" Properties=species:S:1:pos:R:3 pbc="T T T"
Ga 0.6023 1.1690 1.3182
Ga 1.1690 2.9404 3.9547
Ga 1.1690 4.0739 9.2276
Ga 1.7358 1.1690 6.5911
Ga 2.9404 3.5071 6.5911
Ga 3.5071 0.6023 9.2276
Ga 3.5071 1.7358 3.9547
Ga 4.0739 3.5071 1.3182
H 0.0000 0.0000 0.0000
H 0.0000 2.3381 2.6365
H 2.3381 0.0000 7.9094
H 2.3381 2.3381 5.2729
Os 0.0000 0.0000 5.2729
Os 0.0000 2.3381 7.9094
Os 2.3381 0.0000 2.6365
Os 2.3381 2.3381 0.0000
```

* symmetry: I-42d, No. 122
* energy: -70.39 eV/cell
* magnetization: 0.00 μB/atom

Entry 7:
A relaxed PrDy2PaP4 crystal. Source: Alexandria, functional GGA-PBE.

Cell and atoms, written as extended XYZ:
```
8
Lattice="6.9623 0.0000 0.0000 0.0000 4.0449 0.0000 -2.3384 0.0000 6.6150" Properties=species:S:1:pos:R:3 pbc="T T T"
Pr 0.0000 0.0000 0.0000
Dy 2.3119 0.0000 3.3075
Dy 3.4811 2.0224 0.0000
Pa -1.1692 2.0224 3.3075
P 0.0050 0.0000 4.9040
P 1.1543 2.0224 1.7372
P 3.4696 2.0224 4.8777
P 4.6189 0.0000 1.7109
```

* symmetry: P2/m, No. 10
* energy: -57.19 eV/cell
* magnetization: 0.00 μB/atom

Entry 8:
A relaxed AlAg2Pb crystal. Source: Alexandria, functional GGA-PBE.

Cell and atoms, written as extended XYZ:
```
16
Lattice="4.3782 0.0000 0.0000 0.0000 4.3782 0.0000 0.0000 0.0000 18.8159" Properties=species:S:1:pos:R:3 pbc="T T T"
Al 0.0000 0.0000 0.0000
Al 0.0000 2.1891 4.7040
Al 2.1891 0.0000 14.1119
Al 2.1891 2.1891 9.4080
Ag 0.9274 1.0946 2.3520
Ag 1.0946 3.1165 7.0560
Ag 1.0946 3.4508 16.4639
Ag 1.2617 1.0946 11.7600
Ag 3.1165 3.2837 11.7600
Ag 3.2837 0.9274 16.4639
Ag 3.2837 1.2617 7.0560
Ag 3.4508 3.2837 2.3520
Pb 0.0000 0.0000 9.4080
Pb 0.0000 2.1891 14.1119
Pb 2.1891 0.0000 4.7040
Pb 2.1891 2.1891 0.0000
```

* symmetry: I-42d, No. 122
* energy: -49.24 eV/cell
* magnetization: 0.00 μB/atom